A geometry-optimized FeMoPt4 structure, computed with GGA-PBE.

Cell and atoms, written as POSCAR:
```
FeMoPt4
1.0
-3.453 -1.338 3.641
0.065 2.353 4.629
-3.809 3.283 1.298
Pt Fe Mo
4 1 1
Cartesian
-4.499 2.687 5.981
-4.531 1.510 3.665
-2.772 3.356 4.159
-2.594 1.045 5.332
-1.799 1.075 2.392
0.000 0.000 0.000
```

Results
* SG: F-43m (216)
* formation energy: 0.205 eV/atom
* excess energy over the best structure of this formula in the dataset: 481 meV/atom

***

A geometry-optimized KCa2YMg structure, computed with GGA-PBE.

Cell and atoms, written as POSCAR:
```
KCa2YMg
1.0
-3.065 5.291 1.083
-3.738 -1.246 -4.489
-3.750 -2.981 3.951
Y Mg Ca K
1 1 2 1
Cartesian
-1.869 -0.623 -2.245
0.000 0.000 0.000
-1.532 2.645 0.542
-1.875 -1.491 1.975
-5.277 0.532 0.272
```

Results
* SG: P4/mmm (123)
* formation energy: 0.413 eV/atom

***

A geometry-optimized Ta2BePt structure, computed with GGA-PBE.

Cell and atoms, written as POSCAR:
```
Ta2BePt
1.0
-0.166 3.495 -1.503
-0.388 -1.512 -3.474
-9.516 0.996 -1.457
Pt Ta Be
2 4 2
Cartesian
0.000 0.000 0.000
-4.980 2.741 -2.725
-7.349 1.475 -2.995
-2.530 2.208 -1.723
-2.644 -0.223 -2.739
-7.618 2.497 -5.412
-0.277 0.991 -2.488
-5.091 0.237 -3.710
```

Results
* SG: I-42d (122)
* formation energy: 0.370 eV/atom

***

A geometry-optimized LiCd2AgB structure, computed with GGA-PBE.

Cell and atoms, written as POSCAR:
```
LiCd2AgB
1.0
-2.857 3.827 0.305
-2.364 -1.484 -3.532
-2.902 -2.402 2.951
B Cd Li Ag
1 2 1 1
Cartesian
-4.061 -0.030 -0.138
-1.451 -1.201 1.476
-1.429 1.913 0.152
0.000 0.000 0.000
-1.182 -0.742 -1.766
```

Results
* SG: P4/mmm (123)
* formation energy: 1.134 eV/atom

***

A geometry-optimized ZnGa2Pd2 structure, computed with GGA-PBE.

Cell and atoms, written as POSCAR:
```
ZnGa2Pd2
1.0
-3.234 -2.910 5.510
5.915 -3.386 1.683
0.897 2.481 1.837
Ga Zn Pd
4 2 4
Cartesian
3.800 -1.377 2.816
3.403 -3.531 5.919
0.175 -0.285 3.112
-0.222 -2.438 6.214
0.000 0.000 0.000
1.341 -3.148 3.597
-1.208 -2.415 3.852
3.889 -3.881 3.341
1.119 -4.676 5.768
1.562 -1.620 1.425
```

Results
* SG: P4/mbm (127)
* formation energy: -0.472 eV/atom
* excess energy over the best structure of this formula in the dataset: 34 meV/atom

***

A geometry-optimized Ce2HoRu structure, computed with GGA-PBE.

Cell and atoms, written as POSCAR:
```
Ce2HoRu
1.0
3.669 0.000 0.000
0.000 3.669 0.000
0.000 0.000 7.458
Ho Ce Ru
1 2 1
Cartesian
1.834 1.834 3.729
0.000 0.000 6.026
0.000 0.000 1.432
1.834 1.834 0.000
```

Results
* SG: P4/mmm (123)
* formation energy: -0.072 eV/atom
* excess energy over the best structure of this formula in the dataset: 168 meV/atom

***

Question: The lowest formation energy belongs to which entry?
Answer: ZnGa2Pd2